Record 1
# CrSi4O10

A PBEsol-optimized structure of CrSi4O10 (meta-GGA SCAN, Alexandria via LeMat-Bulk).

Calculated values
The calculation puts the size of the total moment at 2.00 μB per formula unit. For the energy relative to the elements, uncorrected, the calculation gives -2.645 eV per atom. Its density of states at the Fermi level is 0.26 states/eV/atom. Its symmetry is No. 130.

Unit cell a=7.527 b=7.527 c=14.633 alpha=90.00 beta=90.00 gamma=90.00
Last column: magnetic moment on the atom in μB.
Fractional coordinates of all 60 atoms:
Si (0.288, 0.796, 0.356)  0.00
O (0.995, 0.252, 0.622)  0.00
Si (0.296, 0.788, 0.856)  0.00
O (0.748, 0.005, 0.878)  0.00
Cr (0.500, 0.000, 0.072)  2.21
O (0.752, 0.495, 0.122)  0.00
O (0.248, 0.505, 0.122)  0.00
O (0.005, 0.252, 0.122)  0.00
O (0.248, 0.495, 0.622)  0.00
O (0.161, 0.674, 0.419)  -0.08
O (0.826, 0.339, 0.919)  -0.08
Si (0.704, 0.212, 0.856)  0.00
Si (0.296, 0.212, 0.356)  0.00
O (0.252, 0.995, 0.878)  0.00
O (0.755, 0.245, 0.250)  -0.01
Si (0.212, 0.704, 0.644)  0.00
O (0.661, 0.174, 0.581)  -0.08
O (0.495, 0.248, 0.878)  0.00
O (0.745, 0.745, 0.250)  -0.01
O (0.755, 0.755, 0.750)  -0.01
Si (0.712, 0.204, 0.356)  0.00
O (0.674, 0.839, 0.581)  -0.08
O (0.839, 0.674, 0.919)  -0.08
O (0.161, 0.326, 0.919)  -0.08
O (0.495, 0.752, 0.378)  0.00
Si (0.204, 0.712, 0.144)  0.00
Cr (0.000, 0.500, 0.928)  2.21
O (0.255, 0.255, 0.250)  -0.01
O (0.326, 0.161, 0.581)  -0.08
Si (0.212, 0.296, 0.144)  0.00
Cr (0.000, 0.500, 0.428)  2.21
Si (0.788, 0.704, 0.144)  0.00
O (0.826, 0.661, 0.419)  -0.08
Si (0.288, 0.204, 0.856)  0.00
O (0.505, 0.248, 0.378)  0.00
O (0.339, 0.174, 0.081)  -0.08
O (0.005, 0.748, 0.622)  0.00
Si (0.704, 0.788, 0.356)  0.00
O (0.995, 0.748, 0.122)  0.00
O (0.745, 0.255, 0.750)  -0.01
O (0.245, 0.245, 0.750)  -0.01
O (0.505, 0.752, 0.878)  0.00
Cr (0.500, 0.000, 0.572)  2.21
O (0.252, 0.005, 0.378)  0.00
O (0.748, 0.995, 0.378)  0.00
O (0.174, 0.661, 0.919)  -0.08
O (0.752, 0.505, 0.622)  0.00
O (0.245, 0.755, 0.250)  -0.01
O (0.174, 0.339, 0.419)  -0.08
Si (0.204, 0.288, 0.644)  0.00
O (0.339, 0.826, 0.581)  -0.08
Si (0.788, 0.296, 0.644)  0.00
Si (0.796, 0.712, 0.644)  0.00
O (0.255, 0.745, 0.750)  -0.01
O (0.326, 0.839, 0.081)  -0.08
O (0.839, 0.326, 0.419)  -0.08
O (0.661, 0.826, 0.081)  -0.08
Si (0.712, 0.796, 0.856)  0.00
Si (0.796, 0.288, 0.144)  0.00
O (0.674, 0.161, 0.081)  -0.08

=====

Record 2
# CrSi4O10

A PBEsol-optimized structure of CrSi4O10 (meta-GGA SCAN, Alexandria via LeMat-Bulk).

Calculated values
The calculation puts the size of the total moment at 2.00 μB per formula unit. For the energy relative to the elements, uncorrected, the calculation gives -2.794 eV per atom. Its density of states at the Fermi level is 0.00 states/eV/atom. Its symmetry is No. 2.

Unit cell a=7.144 b=8.094 c=9.510 alpha=108.71 beta=102.61 gamma=108.52
Last column: magnetic moment on the atom in μB.
Fractional coordinates of all 30 atoms:
O (0.860, 0.655, 0.458)  -0.02
O (0.981, 0.201, 0.722)  0.00
Si (0.233, 0.900, 0.248)  0.01
O (0.605, 0.608, 0.184)  0.00
O (0.647, 0.872, 0.630)  -0.01
O (0.401, 0.811, 0.295)  0.00
Cr (0.716, 0.677, 0.586)  1.89
Si (0.767, 0.100, 0.752)  0.01
Si (0.833, 0.618, 0.273)  0.01
O (0.155, 0.583, 0.816)  0.00
O (0.060, 0.211, 0.229)  0.06
O (0.434, 0.534, 0.386)  -0.02
O (0.820, 0.554, 0.904)  0.00
O (0.180, 0.446, 0.096)  0.00
O (0.566, 0.466, 0.614)  -0.02
Cr (0.284, 0.323, 0.414)  1.89
Si (0.026, 0.702, 0.888)  0.00
O (0.820, 0.133, 0.936)  0.00
O (0.140, 0.345, 0.542)  -0.02
Si (0.974, 0.298, 0.112)  0.00
Si (0.403, 0.601, 0.237)  0.00
O (0.180, 0.867, 0.064)  0.00
Si (0.167, 0.382, 0.727)  0.01
Si (0.597, 0.399, 0.763)  0.00
O (0.845, 0.417, 0.184)  0.00
O (0.599, 0.189, 0.705)  0.00
O (0.353, 0.128, 0.370)  -0.01
O (0.940, 0.789, 0.771)  0.06
O (0.019, 0.799, 0.278)  0.00
O (0.395, 0.392, 0.816)  0.00

=====

Record 3
# ZnCrSi2O6

A PBEsol-optimized structure of ZnCrSi2O6 (meta-GGA SCAN, Alexandria via LeMat-Bulk).

Calculated values
The calculation puts the size of the total moment at 4.00 μB per formula unit. For the energy relative to the elements, uncorrected, the calculation gives -2.501 eV per atom. Its density of states at the Fermi level is 0.10 states/eV/atom. Its symmetry is No. 15.

Unit cell a=5.299 b=6.812 c=6.812 alpha=87.75 beta=74.60 gamma=74.60
Last column: magnetic moment on the atom in μB.
Fractional coordinates of all 20 atoms:
O (0.974, 0.381, 0.327)  0.00
Cr (0.250, 0.101, 0.899)  3.70
O (0.123, 0.144, 0.617)  0.01
O (0.623, 0.617, 0.144)  0.01
Si (0.731, 0.388, 0.218)  0.01
O (0.877, 0.856, 0.383)  0.01
O (0.146, 0.789, 0.966)  0.01
O (0.026, 0.619, 0.673)  0.00
Si (0.769, 0.782, 0.612)  0.01
Zn (0.250, 0.762, 0.238)  0.01
O (0.377, 0.383, 0.856)  0.01
Zn (0.750, 0.238, 0.762)  0.01
O (0.646, 0.966, 0.789)  0.01
O (0.526, 0.673, 0.619)  0.00
Si (0.269, 0.612, 0.782)  0.01
O (0.854, 0.211, 0.034)  0.01
Cr (0.750, 0.899, 0.101)  3.70
O (0.354, 0.034, 0.211)  0.01
Si (0.231, 0.218, 0.388)  0.01
O (0.474, 0.327, 0.381)  0.00